Below is crystalline LiSmCdIn at its relaxed geometry, with properties calculated at the GGA-PBE level.

Cell and atoms, written as POSCAR:
```
LiSmCdIn
1.0
-2.122 -3.670 2.915
1.520 -0.610 4.877
-3.155 1.281 3.857
Cd Sm In Li
1 1 1 1
Cartesian
-2.818 -2.249 8.737
-1.878 -1.499 5.825
-0.939 -0.750 2.912
0.000 0.000 0.000
```

- D(E_F): 2.1 states/eV/f.u.
- Electronic total energy: -0.2155 Ry/atom
- Space-group type: F-43m (216)
- Energy of formation from the pure elements: -0.36 eV per atom
- Mass density: 6.6 Mg/m³
- Total moment: 0.0 μB per formula unit


Below is crystalline MnMoPd2Br at its relaxed geometry, with properties calculated at the GGA-PBE level.

Cell and atoms, written as POSCAR:
```
MnMoPd2Br
1.0
4.708 0.000 0.000
0.000 4.397 0.000
0.000 0.000 4.708
Pd Mo Mn Br
2 1 1 1
Cartesian
2.354 0.000 0.000
0.000 0.000 2.354
0.000 2.198 0.000
0.000 0.000 0.000
2.354 2.198 2.354
```

- D(E_F): 6.6 states/eV/f.u.
- Electronic total energy: -0.3904 Ry/atom
- Space-group type: P4/mmm (123)
- Mass density: 7.6 Mg/m³
- Total moment: 0.0 μB per formula unit


Below is crystalline ErZr4Co5 at its relaxed geometry, with properties calculated at the GGA-PBE level.

Cell and atoms, written as POSCAR:
```
ErZr4Co5
1.0
3.196 0.000 0.000
0.000 3.196 0.000
0.000 0.000 16.193
Zr Co Er
4 5 1
Cartesian
0.000 0.000 9.679
0.000 0.000 12.871
0.000 0.000 3.322
0.000 0.000 6.515
1.598 1.598 8.097
1.598 1.598 11.258
1.598 1.598 1.867
1.598 1.598 4.935
1.598 1.598 14.327
0.000 0.000 0.000
```

- D(E_F): 8.8 states/eV/f.u.
- Electronic total energy: -0.5661 Ry/atom
- Space-group type: P4/mmm (123)
- Energy of formation from the pure elements: -0.27 eV per atom
- Mass density: 8.3 Mg/m³
- Total moment: 0.6 μB per formula unit